*1*
Pm2Cd3Pt4 after structural relaxation, computed with PBE.

Structure (extended XYZ):
```
18
Lattice="7.2852 -0.0583 0.0000 -2.4497 7.1032 0.0000 0.0000 0.0000 7.4614" Properties=species:S:1:pos:R:3 pbc="T T T"
Cd 2.4178 3.5224 0.0000
Cd 1.1505 1.7806 5.0005
Cd 4.7931 1.7515 6.1917
Cd -1.2248 3.5516 3.7307
Cd 3.6851 5.2642 2.4610
Cd 0.0425 5.2934 1.2698
Pm -0.0579 1.3448 1.3192
Pm 3.5847 1.3156 2.4115
Pm 4.8935 5.7001 6.1423
Pm 1.2509 5.7293 5.0499
Pt 2.5177 6.5434 0.2807
Pt -1.1249 6.5726 3.4500
Pt -0.3044 3.6619 6.4448
Pt 5.1400 3.3830 1.0166
Pt 2.3179 0.5015 7.1808
Pt 5.9605 0.4723 4.0114
Pt 1.4973 3.4121 2.7141
Pt 3.3382 3.6327 4.7473
```

Properties
As for the space group: No. 14.

*2*
Pm2Cd3Pt4 after structural relaxation, computed with PBE.

Structure (extended XYZ):
```
18
Lattice="-4.1482 -0.4103 -3.9975 1.5481 -7.3038 -0.8568 -3.7529 -1.7629 8.2475" Properties=species:S:1:pos:R:3 pbc="T T T"
Cd -2.9283 -6.6114 1.6313
Cd -0.8542 -6.4062 3.6300
Cd -5.4988 -3.0708 -0.2368
Cd -3.4247 -2.8657 1.7619
Cd 0.0000 0.0000 0.0000
Cd -1.3001 -3.8571 -2.4271
Pt -4.8159 -7.2489 3.6555
Pt -1.5371 -2.2281 -0.2623
Pt -3.6112 -2.4333 -2.2610
Pt -3.2398 -4.7891 3.8535
Pt -6.0015 -1.7502 2.2353
Pt -2.7418 -7.0437 5.6543
Pt -0.3515 -7.7269 1.1579
Pt -3.1132 -4.6880 -0.4603
Pm -1.8603 -7.2618 -1.4963
Pm -4.4928 -2.2152 4.8895
Pm -0.2842 -4.7071 0.7780
Pm -6.0689 -4.7699 2.6152
```

Properties
As for the space group: No. 64.

Stability summary: most stable *1*, least stable *2*.